i:
First-principles (PBE) data for a relaxed structure of In12Ga6Bi, as listed in the Alexandria database.

The structure in POSCAR format:
```
In12Ga6Bi
1.0
-4.9669 4.9669 4.9669
4.9669 -4.9669 4.9669
4.9669 4.9669 -4.9669
In Ga Bi
12 6 1
direct
0.0608 0.7960 0.2648 In
0.2040 0.2648 0.4689 In
0.2040 0.7352 0.9392 In
0.2648 0.0608 0.7960 In
0.2648 0.4689 0.2040 In
0.4689 0.2040 0.2648 In
0.5311 0.7960 0.7352 In
0.7352 0.5311 0.7960 In
0.7352 0.9392 0.2040 In
0.7960 0.2648 0.0608 In
0.7960 0.7352 0.5311 In
0.9392 0.2040 0.7352 In
0.1324 0.6324 0.5000 Ga
0.3676 0.5000 0.8676 Ga
0.5000 0.1324 0.6324 Ga
0.5000 0.8676 0.3676 Ga
0.6324 0.5000 0.1324 Ga
0.8676 0.3676 0.5000 Ga
0.0000 0.0000 0.0000 Bi
```

- size of the total moment (μB per formula unit) = 0.00
- volume (Å³/cell) = 490.13

---

ii:
First-principles (PBE) data for a relaxed structure of In12Ga6Bi, as listed in the Alexandria database.

The structure in POSCAR format:
```
In12Ga6Bi
1.0
8.0895 0.0000 0.0000
-2.2845 7.8543 0.0000
-2.1961 -3.8011 7.5000
In Ga Bi
12 6 1
direct
0.0167 0.2060 0.3506 In
0.1492 0.6266 0.3703 In
0.2375 0.1076 0.0699 In
0.2968 0.6398 0.7859 In
0.3278 0.0550 0.4475 In
0.3834 0.5543 0.1256 In
0.6166 0.4457 0.8744 In
0.6722 0.9450 0.5525 In
0.7032 0.3602 0.2141 In
0.7625 0.8924 0.9301 In
0.8508 0.3734 0.6297 In
0.9833 0.7940 0.6494 In
0.0568 0.7055 0.0347 Ga
0.1640 0.2120 0.7378 Ga
0.4479 0.0323 0.8107 Ga
0.5521 0.9677 0.1893 Ga
0.8360 0.7880 0.2622 Ga
0.9432 0.2945 0.9653 Ga
0.5000 0.5000 0.5000 Bi
```

- size of the total moment (μB per formula unit) = 0.00
- volume (Å³/cell) = 476.53

---

Best to worst by energy: ii, i.

---

i:
First-principles (PBE) data for a relaxed structure of InGaBiPb, as listed in the Alexandria database.

The structure in POSCAR format:
```
InGaBiPb
1.0
7.7321 0.0000 0.0000
0.0000 7.7321 0.0000
0.0000 0.0000 7.7321
In Ga Bi Pb
4 4 4 4
direct
0.0000 0.0000 0.0000 In
0.0000 0.5000 0.5000 In
0.5000 0.0000 0.5000 In
0.5000 0.5000 0.0000 In
0.2500 0.2500 0.7500 Ga
0.2500 0.7500 0.2500 Ga
0.7500 0.2500 0.2500 Ga
0.7500 0.7500 0.7500 Ga
0.0000 0.0000 0.5000 Bi
0.0000 0.5000 0.0000 Bi
0.5000 0.0000 0.0000 Bi
0.5000 0.5000 0.5000 Bi
0.2500 0.2500 0.2500 Pb
0.2500 0.7500 0.7500 Pb
0.7500 0.2500 0.7500 Pb
0.7500 0.7500 0.2500 Pb
```

- size of the total moment (μB per formula unit) = 0.00
- volume (Å³/cell) = 462.27

---

ii:
First-principles (PBE) data for a relaxed structure of InGaBiPb, as listed in the Alexandria database.

The structure in POSCAR format:
```
InGaBiPb
1.0
3.4342 0.0000 0.0000
0.0000 3.4342 0.0000
0.0000 0.0000 9.4024
In Ga Bi Pb
1 1 1 1
direct
0.0000 0.0000 0.0000 In
0.5000 0.5000 0.2133 Ga
0.5000 0.5000 0.7288 Bi
0.0000 0.0000 0.4408 Pb
```

- size of the total moment (μB per formula unit) = 0.00
- volume (Å³/cell) = 110.89

---

Best to worst by energy: ii, i.

---

i:
First-principles (PBE) data for a relaxed structure of In2GaBiS6, as listed in the Alexandria database.

The structure in POSCAR format:
```
In2GaBiS6
1.0
6.1607 -6.6436 0.0000
6.1607 6.6436 0.0000
-2.6533 0.0000 6.4915
In Ga Bi S
4 2 2 12
direct
0.0245 0.2005 0.1450 In
0.2005 0.0245 0.6450 In
0.7995 0.9755 0.3550 In
0.9755 0.7995 0.8550 In
0.3243 0.6757 0.2500 Ga
0.6757 0.3243 0.7500 Ga
0.4072 0.5928 0.7500 Bi
0.5928 0.4072 0.2500 Bi
0.0379 0.2057 0.5112 S
0.1431 0.6059 0.9339 S
0.2057 0.0379 0.0112 S
0.3049 0.4370 0.3219 S
0.3941 0.8569 0.5661 S
0.4370 0.3049 0.8219 S
0.5630 0.6951 0.1781 S
0.6059 0.1431 0.4339 S
0.6951 0.5630 0.6781 S
0.7943 0.9621 0.9888 S
0.8569 0.3941 0.0661 S
0.9621 0.7943 0.4888 S
```

- size of the total moment (μB per formula unit) = 0.00
- volume (Å³/cell) = 531.38

---

ii:
First-principles (PBE) data for a relaxed structure of In2GaBiS6, as listed in the Alexandria database.

The structure in POSCAR format:
```
In2GaBiS6
1.0
11.3896 0.0000 0.0000
0.0000 3.8453 0.0000
-5.6894 0.0000 11.1312
In Ga Bi S
4 2 2 12
direct
0.0493 0.2500 0.1431 In
0.2605 0.2500 0.7238 In
0.7395 0.7500 0.2762 In
0.9507 0.7500 0.8569 In
0.1617 0.7500 0.4048 Ga
0.8383 0.2500 0.5952 Ga
0.4059 0.2500 0.1075 Bi
0.5941 0.7500 0.8925 Bi
0.0435 0.2500 0.7675 S
0.1417 0.7500 0.5778 S
0.1552 0.7500 0.0693 S
0.2564 0.2500 0.3692 S
0.3600 0.7500 0.8967 S
0.4901 0.2500 0.7257 S
0.5099 0.7500 0.2743 S
0.6400 0.2500 0.1033 S
0.7436 0.7500 0.6308 S
0.8448 0.2500 0.9307 S
0.8583 0.2500 0.4222 S
0.9565 0.7500 0.2325 S
```

- size of the total moment (μB per formula unit) = 0.00
- volume (Å³/cell) = 487.51

---

Best to worst by energy: ii, i.